[1]
ReF | Alexandria via LeMat-Bulk | GGA-PBE | optimized geometry; mass density = 11237 kg/m³; magnetic moment = 0.0 μB per cell; VASP energy = -8.05 eV per atom; formation energy from raw total energies = -0.886 eV/atom
1.0
-7.770 -4.694 -2.326
3.736 -2.049 -8.347
1.082 -2.313 1.052
Re F
8 8
Cartesian
-5.115 -6.057 -4.427
2.163 -2.999 -5.193
-1.214 -6.064 -8.457
-1.737 -2.992 -1.164
-4.728 -5.377 -6.958
0.694 -1.366 -3.715
0.105 -3.769 -8.393
-4.139 -2.974 -2.280
-2.575 -5.824 -6.529
-0.377 -3.232 -3.092
0.457 -4.273 -6.238
-3.409 -4.783 -3.382
-5.937 -4.318 -3.385
1.902 -2.425 -7.287
-3.290 -5.629 -8.990
-0.744 -1.114 -1.683

***

[2]
RbPHCl2 | Alexandria via LeMat-Bulk | GGA-PBE | optimized geometry; mass density = 2925 kg/m³; magnetic moment = 1.2 μB per cell; VASP energy = -2.93 eV per atom
1.0
5.571 0.000 0.000
0.000 5.571 0.000
0.000 0.000 3.446
P H Rb Cl
1 1 1 2
Cartesian
0.000 0.000 1.723
0.000 0.000 0.000
2.785 2.785 1.723
0.000 2.785 0.000
2.785 0.000 0.000

***

[3]
Pm6NdY12 | Alexandria via LeMat-Bulk | GGA-PBE | optimized geometry; mass density = 5446 kg/m³; magnetic moment = 0.0 μB per cell; VASP energy = -5.73 eV per atom
1.0
-1.933 -5.345 -6.610
4.890 -6.900 2.116
-6.010 -5.042 3.801
Pm Nd Y
6 1 12
Cartesian
1.292 -10.276 -2.842
-1.871 -7.195 -4.170
2.270 -8.138 1.125
-4.345 -7.011 2.148
-1.182 -10.092 3.477
-5.323 -9.148 -1.819
0.000 0.000 0.000
-2.094 -10.063 -2.453
0.092 -10.561 0.343
-3.400 -9.966 0.883
-0.959 -7.224 1.760
-3.145 -6.726 -1.036
0.347 -7.321 -1.576
-2.488 -4.105 1.214
-4.319 -12.542 -1.327
-1.969 -13.078 1.679
-0.564 -13.182 -1.908
1.266 -4.744 0.634
-1.084 -4.209 -2.372

***

Q: Which of these has the highest VASP energy?
A: RbPHCl2

***

Q: Which value of mass density does entry 2 give?
A: 2925 kg/m³

***

Q: Which value of mass density does entry 2 give?
A: 2925 kg/m³

***

Q: What is the magnetic moment in the first record?
A: 0.0 μB per cell